VASP calculation (PBE with a Hubbard U) on an optimized crystal structure of FeOsN2O.

a = 3.8529 Å, b = 3.8529 Å, c = 3.5911 Å
α = 90.00°, β = 90.00°, γ = 90.00°
Space group P4/mmm (No. 123)
Asymmetric unit:
Fe1 0.0000 0.0000 0.0000 (multiplicity 1)
Os1 0.5000 0.5000 0.5000 (multiplicity 1)
N1 0.0000 0.5000 0.0000 (multiplicity 2)
O1 0.0000 0.0000 0.5000 (multiplicity 1)

Output
Density of states at the Fermi level (states/eV per cell): 4.4
Uncorrected energy (eV per atom): -6.174